The following is a PBE with a Hubbard U calculation of a relaxed Tb2MnBeO6 crystal, from Alexandria via LeMat-Bulk.

Unit cell a=5.2167 b=5.3908 c=7.3327 alpha=90.00 beta=89.99 gamma=90.00
With the nearest neighbours (Å) after each atom.
Atoms (fractional coordinates):
O 0.0816 0.4813 0.7438  1 Be 1.84, 1 Mn 1.93
O 0.7047 0.2934 0.9563  1 Mn 1.93, 1 Be 1.94
O 0.4184 0.9813 0.7562  1 Be 1.84, 1 Mn 1.93
O 0.2047 0.2066 0.4563  1 Mn 1.93, 1 Be 1.94
Be 0.5000 0.0000 0.0000  6 O 1.84-1.94
O 0.9184 0.5187 0.2562  1 Be 1.84, 1 Mn 1.93
O 0.7938 0.7944 0.9572  1 Be 1.92, 1 Mn 1.94
Tb 0.5120 0.5590 0.7506  7 O 2.28-2.56
Tb 0.4880 0.4410 0.2494  7 O 2.28-2.56
O 0.7953 0.7934 0.5437  1 Mn 1.93, 1 Be 1.94
O 0.2062 0.2056 0.0428  1 Be 1.92, 1 Mn 1.94
O 0.2953 0.7066 0.0437  1 Mn 1.93, 1 Be 1.94
Tb 0.9880 0.0590 0.7494  7 O 2.28-2.56
O 0.2938 0.7056 0.4572  1 Be 1.92, 1 Mn 1.94
Mn 0.0000 0.5000 0.0000  6 O 1.93-1.94
Be 0.0000 0.5000 0.5000  6 O 1.84-1.94
O 0.5816 0.0187 0.2438  1 Be 1.84, 1 Mn 1.93
O 0.7062 0.2944 0.5428  1 Be 1.92, 1 Mn 1.94
Tb 0.0120 0.9410 0.2506  7 O 2.28-2.56
Mn 0.5000 0.0000 0.5000  6 O 1.93-1.94

Mass density = 7695 kg/m3
DFT total energy = -0.564 Ry per atom
Space-group type = P2_1/c, No. 14